A plane-wave DFT calculation with PBE was carried out for an optimized crystal structure of PmNdCd.

Cell lengths 3.7439, 3.7439, 13.1498 Å; angles 90.00, 90.00, 90.00 degrees
With the nearest neighbours (Å) after each atom.
Space group I4mm (No. 107)
Unique sites:
Pm 0.0000 0.0000 0.0000 x2  4 Cd 3.32, 4 Nd 3.65
Nd 0.0000 0.0000 0.6906 x2  4 Cd 3.35, 4 Pm 3.65, 4 Nd 3.74
Cd 0.0000 0.0000 0.3472 x2  4 Pm 3.32, 4 Nd 3.35

Summary:
volume = 30.72 A^3/atom
energy relative to the elements = -0.200 eV/atom
crystal system = tetragonal
energy above the lowest structure with this stoichiometry = 0 meV/atom
size of the total moment = 0.00 μB/cell

=====

A plane-wave DFT calculation with PBE was carried out for an optimized crystal structure of Pm9Nd4Cd11.

Cell lengths 16.1652, 23.2633, 3.6482 Å; angles 90.00, 90.00, 90.00 degrees
With the nearest neighbours (Å) after each atom.
Space group Cmmm (No. 65)
Unique sites:
Pm 0.0000 0.0000 0.0000 x2  4 Nd 3.31, 4 Cd 3.55, 2 Pm 3.65
Pm 0.1131 0.4065 0.0000 x8  8 Cd 3.28-3.38, 1 Nd 3.61, 3 Pm 3.65-3.66
Pm 0.1153 0.2314 0.0000 x8  8 Cd 3.29-3.50, 1 Nd 3.49, 2 Pm 3.65
Nd 0.1637 0.0852 0.0000 x8  3 Pm 3.31-3.61, 6 Cd 3.33-3.39, 2 Nd 3.65
Cd 0.0000 0.1310 0.5000 x4  4 Nd 3.39, 6 Pm 3.50-3.55, 2 Cd 3.65
Cd 0.0000 0.3191 0.5000 x4  8 Pm 3.29-3.31, 2 Cd 3.65
Cd 0.0000 0.5000 0.5000 x2  8 Pm 3.38, 4 Cd 3.48-3.65
Cd 0.2151 0.5000 0.5000 x4  4 Pm 3.28, 4 Nd 3.33, 3 Cd 3.48-3.65
Cd 0.2294 0.3187 0.5000 x8  3 Cd 3.27-3.65, 6 Pm 3.29-3.32, 2 Nd 3.36

Summary:
volume = 28.58 A^3/atom
energy relative to the elements = -0.250 eV/atom
crystal system = orthorhombic
size of the total moment = 0.03 μB/cell

=====

A plane-wave DFT calculation with PBE was carried out for an optimized crystal structure of PmNdCd6.

Cell lengths 4.9843, 6.9995, 11.4601 Å; angles 90.00, 90.00, 90.00 degrees
With the nearest neighbours (Å) after each atom.
Space group Amm2 (No. 38)
Unique sites:
Pm 0.0000 0.0000 0.0000 x2  12 Cd 3.24-3.50
Nd 0.5000 0.0000 0.3017 x2  12 Cd 3.24-3.51
Cd 0.0000 0.0000 0.4841 x2  8 Cd 3.08-3.43, 2 Nd 3.25
Cd 0.0000 0.2223 0.7377 x4  7 Cd 3.08-3.43, 2 Nd 3.24, 2 Pm 3.35-3.38
Cd 0.5000 0.0000 0.8190 x2  8 Cd 3.08-3.41, 2 Pm 3.24
Cd 0.5000 0.2235 0.5636 x4  7 Cd 3.08-3.41, 2 Pm 3.24, 2 Nd 3.35-3.38

Summary:
volume = 24.99 A^3/atom
energy relative to the elements = -0.308 eV/atom
crystal system = orthorhombic
size of the total moment = 0.00 μB/cell

=====

A plane-wave DFT calculation with PBE was carried out for an optimized crystal structure of PmNd6Cd.

Cell lengths 9.6143, 9.6143, 10.1502 Å; angles 90.00, 90.00, 120.00 degrees
With the nearest neighbours (Å) after each atom.
Space group R-3 (No. 148, hexagonal axes)
Unique sites:
Pm 0.0000 0.0000 0.0000 x3  12 Nd 3.56-3.76
Nd 0.0241 0.2614 0.7147 x18  1 Cd 3.25, 2 Nd 3.32-3.38, 1 Pm 3.56
Cd 0.0000 0.0000 0.5000 x3  6 Nd 3.25

Summary:
volume = 33.84 A^3/atom
energy relative to the elements = 0.028 eV/atom
crystal system = trigonal
energy above the lowest structure with this stoichiometry = 68 meV/atom
size of the total moment = 0.00 μB/cell

=====

A plane-wave DFT calculation with PBE was carried out for an optimized crystal structure of PmNd8Cd2.

Cell lengths 17.1012, 5.4414, 8.5466 Å; angles 90.00, 114.39, 90.00 degrees
With the nearest neighbours (Å) after each atom.
Space group C2/m (No. 12)
Unique sites:
Pm 0.0000 0.0000 0.0000 x2  8 Nd 3.39-3.66
Nd 0.0529 0.5000 0.7380 x4  1 Cd 3.37, 7 Nd 3.56-3.71
Nd 0.1024 0.0000 0.4682 x4  3 Cd 3.34-3.45, 1 Pm 3.65, 2 Nd 3.70
Nd 0.1502 0.5000 0.2077 x4  3 Cd 3.31-3.41, 5 Nd 3.58-3.69, 2 Pm 3.66
Nd 0.1879 0.0000 0.9563 x4  1 Cd 3.21, 5 Nd 3.34-3.58, 1 Pm 3.39
Cd 0.2217 0.5000 0.6311 x4  8 Nd 3.21-3.45

Summary:
volume = 32.92 A^3/atom
energy relative to the elements = -0.073 eV/atom
crystal system = monoclinic
energy above the lowest structure with this stoichiometry = 0 meV/atom
size of the total moment = 0.00 μB/cell

=====

A plane-wave DFT calculation with PBE was carried out for an optimized crystal structure of Pm4Nd3Cd.

Cell lengths 11.5511, 7.2010, 6.3227 Å; angles 90.00, 90.00, 90.00 degrees
With the nearest neighbours (Å) after each atom.
Space group Pmn2_1 (No. 31)
Unique sites:
Pm 0.0000 0.1121 0.0000 x2  6 Pm 3.42-3.83, 3 Nd 3.45-3.54, 2 Cd 3.53-3.68
Pm 0.0000 0.8669 0.5372 x2  6 Pm 3.42-3.83, 2 Cd 3.50-3.74, 4 Nd 3.55-3.67
Pm 0.2355 0.8690 0.1850 x4  1 Cd 3.42, 6 Pm 3.44-3.72, 5 Nd 3.52-3.68
Nd 0.0000 0.3738 0.5427 x2  5 Pm 3.45-3.65, 2 Cd 3.49-3.78, 4 Nd 3.52-3.66
Nd 0.2349 0.3800 0.1889 x4  2 Cd 3.41-3.70, 4 Nd 3.52-3.66, 6 Pm 3.52-3.68
Cd 0.0000 0.6223 0.0160 x2  6 Nd 3.41-3.78, 6 Pm 3.42-3.74

Summary:
volume = 32.87 A^3/atom
energy relative to the elements = -0.041 eV/atom
crystal system = orthorhombic
energy above the lowest structure with this stoichiometry = 0 meV/atom
size of the total moment = 0.00 μB/cell

=====

A plane-wave DFT calculation with PBE was carried out for an optimized crystal structure of Pm7Nd12Cd.

Cell lengths 12.3254, 12.3254, 15.8744 Å; angles 90.00, 90.00, 120.00 degrees
With the nearest neighbours (Å) after each atom.
Space group R-3 (No. 148, hexagonal axes)
Unique sites:
Pm 0.0000 0.0000 0.0000 x3  6 Nd 3.32
Pm 0.0565 0.1859 0.2968 x18  3 Pm 3.47-3.52, 7 Nd 3.62-3.83, 1 Cd 3.81
Nd 0.0350 0.4540 0.2143 x18  5 Nd 3.35-3.61, 1 Cd 3.37, 2 Pm 3.64-3.68
Nd 0.0559 0.5861 0.5838 x18  4 Nd 3.25-3.55, 2 Pm 3.32-3.62
Cd 0.0000 0.0000 0.5000 x3  6 Nd 3.36-3.37

Summary:
volume = 34.81 A^3/atom
energy relative to the elements = 0.158 eV/atom
crystal system = trigonal
energy above the lowest structure with this stoichiometry = 0 meV/atom
size of the total moment = 0.00 μB/cell

=====

A plane-wave DFT calculation with PBE was carried out for an optimized crystal structure of Pm3NdCd2.

Cell lengths 3.7580, 3.7580, 12.9222 Å; angles 90.00, 90.00, 90.00 degrees
With the nearest neighbours (Å) after each atom.
Space group P4/mmm (No. 123)
Unique sites:
Pm 0.0000 0.0000 0.0000 x1  8 Cd 3.31
Pm 0.0000 0.0000 0.3043 x2  4 Cd 3.30, 4 Nd 3.67
Nd 0.5000 0.5000 0.5000 x1  8 Pm 3.67, 4 Nd 3.76
Cd 0.5000 0.5000 0.1528 x2  8 Pm 3.30-3.31

Summary:
volume = 30.42 A^3/atom
energy relative to the elements = -0.206 eV/atom
crystal system = tetragonal
size of the total moment = 0.27 μB/cell